# 1
YSF: optimized geometry, GGA-PBE.

Geometry as extended XYZ:
```
6
Lattice="4.601 -1.979 0.000 4.601 1.979 0.000 -1.766 0.000 6.543" Properties=species:S:1:pos:R:3 pbc="T T T"
Y 1.401 0.000 1.607
Y 6.035 0.000 4.936
S -0.455 0.000 5.423
S 7.891 0.000 1.119
F 2.088 0.000 3.855
F 5.348 0.000 2.687
```

Summary:
The calculation puts the uncorrected formation energy at -2.95 eV per atom. The space-group type is C2/m, No. 12. The total energy comes out at -42.6 eV/cell.

=====

# 2
YSF2: optimized geometry, GGA-PBE.

Geometry as extended XYZ:
```
4
Lattice="0.000 3.060 3.060 3.060 0.000 3.060 3.060 3.060 0.000" Properties=species:S:1:pos:R:3 pbc="T T T"
Y 0.000 0.000 0.000
S 3.060 3.060 3.060
F 1.530 1.530 1.530
F 4.590 4.590 4.590
```

Summary:
The calculation puts the uncorrected formation energy at -2.21 eV per atom. The value obtained for the energy above the most stable polymorph in this dataset is 0.3909 eV/atom. The space-group type is Fm-3m, No. 225. The total energy comes out at -23.2 eV/cell.

=====

# 3
YSF2: optimized geometry, GGA-PBE.

Geometry as extended XYZ:
```
8
Lattice="-2.149 2.149 7.596 2.149 -2.149 7.596 2.149 2.149 -7.596" Properties=species:S:1:pos:R:3 pbc="T T T"
Y 0.000 0.000 0.000
Y 0.000 2.149 3.798
S 2.149 0.000 3.798
S 0.000 0.000 7.596
F 3.224 0.559 -1.899
F 0.559 1.075 1.899
F -1.075 1.591 5.697
F 1.591 1.075 9.495
```

Summary:
The calculation puts the uncorrected formation energy at -2.52 eV per atom. The value obtained for the energy above the most stable polymorph in this dataset is 0.0765 eV/atom. The space-group type is I-42d, No. 122. The total energy comes out at -48.9 eV/cell.

=====

# 4
YSF2: optimized geometry, GGA-PBE.

Geometry as extended XYZ:
```
4
Lattice="1.925 1.111 5.342 -1.925 1.111 5.342 0.000 -2.223 5.342" Properties=species:S:1:pos:R:3 pbc="T T T"
Y 0.000 0.000 0.000
S 0.000 0.000 8.014
F 0.000 0.000 4.788
F 0.000 0.000 11.240
```

Summary:
The calculation puts the uncorrected formation energy at -2.60 eV per atom. The value obtained for the energy above the most stable polymorph in this dataset is 0.0000 eV/atom. The space-group type is R-3m, No. 166. The total energy comes out at -24.7 eV/cell.

=====

# 5
YSF: optimized geometry, GGA-PBE.

Geometry as extended XYZ:
```
12
Lattice="4.077 0.000 0.000 -2.038 3.531 0.000 0.000 0.000 16.812" Properties=species:S:1:pos:R:3 pbc="T T T"
Y 0.000 0.000 0.000
Y 0.000 0.000 8.406
Y 0.000 2.354 4.203
Y 2.038 1.177 12.609
S 0.000 2.354 1.438
S 0.000 2.354 6.969
S 2.038 1.177 9.844
S 2.038 1.177 15.375
F 0.000 0.000 4.203
F 0.000 0.000 12.609
F 0.000 2.354 12.609
F 2.038 1.177 4.203
```

Summary:
The calculation puts the uncorrected formation energy at -2.97 eV per atom. The space-group type is P6_3/mmc, No. 194. The total energy comes out at -85.4 eV/cell.

=====

# 6
Y2SF3: optimized geometry, GGA-PBE.

Geometry as extended XYZ:
```
12
Lattice="6.496 -1.976 0.000 6.496 1.976 0.000 -1.772 0.000 7.876" Properties=species:S:1:pos:R:3 pbc="T T T"
Y 0.707 0.000 3.306
Y 4.605 0.000 1.114
Y 6.616 0.000 6.763
Y 10.514 0.000 4.570
S 3.923 0.000 6.412
S 7.298 0.000 1.464
F -0.166 0.000 5.446
F 0.769 0.000 7.686
F 3.028 0.000 3.117
F 8.193 0.000 4.759
F 10.452 0.000 0.190
F 11.386 0.000 2.430
```

Summary:
The calculation puts the uncorrected formation energy at -3.20 eV per atom. The space-group type is C2/m, No. 12. The total energy comes out at -83.7 eV/cell.